[1]
An optimized crystal structure of LiBeAg2. Source: Alexandria, functional PBE-GGA.

```
LiBeAg2
1.0
-0.033 -1.433 -4.812
3.237 -3.557 -1.443
-3.348 0.682 3.680
Ag Be Li
2 1 1
Cartesian
0.000 0.000 0.000 Ag
0.746 -2.685 -0.445 Ag
1.602 -2.495 -3.127 Be
-0.890 -1.623 -2.130 Li
```

DFT total energy ... -2.7865 eV per atom
Volume ... 14.3 A^3/atom
DFT formation energy ... 49 meV per atom
DOS(E_F) ... 1.17 states/eV/f.u.

---

[2]
An optimized crystal structure of Rb5TbTe4. Source: Alexandria, functional PBE-GGA.

```
Rb5TbTe4
1.0
5.080 0.000 0.000
0.000 9.179 -1.565
-2.540 -2.950 10.530
Rb Tb Te
5 1 4
Cartesian
2.540 3.319 5.977 Rb
2.540 -1.151 6.755 Rb
0.000 7.379 2.210 Rb
2.540 4.590 -0.782 Rb
0.000 2.909 2.987 Rb
2.540 0.000 0.000 Tb
0.000 5.695 5.727 Te
2.540 4.218 9.299 Te
2.540 0.533 3.238 Te
0.000 2.011 -0.334 Te
```

Raw formation energy ... -1014 meV/atom
DFT total energy ... -3.2180 eV per atom
Volume ... 46.8 A^3/atom

---

[3]
An optimized crystal structure of Th2ZnHg2. Source: Alexandria, functional PBE-GGA.

```
Th2ZnHg2
1.0
4.454 0.000 0.000
0.000 6.508 0.000
-2.227 0.000 9.002
Th Zn Hg
4 2 4
Cartesian
0.000 5.301 0.042 Th
2.227 2.168 5.297 Th
0.000 5.422 3.704 Th
2.227 2.047 8.960 Th
0.000 0.452 7.114 Zn
2.227 3.706 1.888 Zn
0.000 3.697 7.174 Hg
2.227 5.526 5.876 Hg
0.000 2.272 3.126 Hg
2.227 0.443 1.828 Hg
```

DFT total energy ... -3.4740 eV per atom
Volume ... 26.1 A^3/atom
DFT formation energy ... -131 meV per atom
DOS(E_F) ... 4.92 states/eV/f.u.

---

[4]
An optimized crystal structure of CdBiI3. Source: Alexandria, functional PBE-GGA.

```
CdBiI3
1.0
-5.483 -1.872 -2.363
5.922 -4.692 -1.742
-5.453 0.318 12.401
Cd Bi I
2 2 6
Cartesian
-1.108 -3.946 -2.588 Cd
-3.906 -2.300 10.884 Cd
-3.400 -5.247 3.760 Bi
-1.614 -0.998 4.536 Bi
-0.650 -4.144 4.790 I
-4.364 -2.102 3.507 I
-4.445 -5.633 6.492 I
-0.568 -0.613 1.804 I
-2.779 -1.490 7.630 I
-2.234 -4.755 0.667 I
```

Raw formation energy ... -253 meV/atom
DFT total energy ... -2.1422 eV per atom
Volume ... 49.2 A^3/atom
DOS(E_F) ... 1.18 states/eV/f.u.

---

[5]
An optimized crystal structure of CuIrPt. Source: Alexandria, functional PBE-GGA.

```
CuIrPt
1.0
4.697 0.001 -0.001
2.323 4.083 0.001
-3.116 -2.720 2.227
Cu Ir Pt
1 1 1
Cartesian
0.011 0.006 0.000 Cu
4.667 2.715 0.000 Ir
2.342 1.362 0.000 Pt
```

DFT total energy ... -6.2311 eV per atom
Volume ... 14.2 A^3/atom
DFT formation energy ... 102 meV per atom
DOS(E_F) ... 4.35 states/eV/f.u.

---

[6]
An optimized crystal structure of LaTa2Mn. Source: Alexandria, functional PBE-GGA.

```
LaTa2Mn
1.0
5.210 -0.005 0.066
4.205 3.075 0.066
1.713 0.559 5.359
La Mn Ta
1 1 2
Cartesian
5.322 1.735 2.785 La
8.363 2.726 4.742 Mn
1.912 0.623 5.167 Ta
2.809 0.916 0.901 Ta
```

DFT total energy ... -8.9815 eV per atom
Volume ... 21.4 A^3/atom
DFT formation energy ... 469 meV per atom
DOS(E_F) ... 4.97 states/eV/f.u.

---

[7]
An optimized crystal structure of TmZrTi2. Source: Alexandria, functional PBE-GGA.

```
TmZrTi2
1.0
3.604 0.000 0.000
0.000 3.604 0.000
0.000 0.000 6.698
Tm Zr Ti
1 1 2
Cartesian
1.802 1.802 3.349 Tm
1.802 1.802 0.000 Zr
0.000 0.000 5.315 Ti
0.000 0.000 1.383 Ti
```

DFT total energy ... -7.0747 eV per atom
Volume ... 21.7 A^3/atom
DFT formation energy ... 128 meV per atom
DOS(E_F) ... 5.79 states/eV/f.u.

---

[8]
An optimized crystal structure of Tm6InFe2. Source: Alexandria, functional PBE-GGA.

```
Tm6InFe2
1.0
8.292 0.062 -0.030
-3.084 7.697 0.030
-2.814 -3.739 6.846
Tm In Fe
12 2 4
Cartesian
-0.152 2.466 5.557 Tm
2.546 1.555 1.289 Tm
-2.340 -0.793 5.557 Tm
4.734 4.814 1.289 Tm
2.574 3.900 3.788 Tm
-0.180 0.121 3.058 Tm
-3.355 2.251 6.759 Tm
5.749 1.769 0.087 Tm
2.689 0.478 4.698 Tm
-0.294 3.543 2.148 Tm
-2.508 5.028 4.728 Tm
4.902 -1.008 2.117 Tm
-2.949 1.979 3.438 In
0.000 0.000 0.000 In
0.438 -0.294 6.091 Fe
1.956 4.315 0.755 Fe
3.372 -2.263 4.196 Fe
2.106 -1.413 2.620 Fe
```

DFT total energy ... -5.3557 eV per atom
Volume ... 24.3 A^3/atom
DFT formation energy ... -190 meV per atom
DOS(E_F) ... 8.83 states/eV/f.u.

---

[9]
An optimized crystal structure of CeDyPa2. Source: Alexandria, functional PBE-GGA.

```
CeDyPa2
1.0
-0.272 -0.842 5.075
1.023 -4.681 1.893
4.945 -0.633 2.774
Pa Ce Dy
2 1 1
Cartesian
3.721 -4.759 7.254 Pa
1.976 -1.397 2.489 Pa
2.848 -3.078 4.872 Ce
0.000 0.000 0.000 Dy
```

DFT total energy ... -6.9952 eV per atom
Volume ... 28.0 A^3/atom
DFT formation energy ... 387 meV per atom
DOS(E_F) ... 9.16 states/eV/f.u.

---

[10]
An optimized crystal structure of BaAgPd2Rh. Source: Alexandria, functional PBE-GGA.

```
BaAgPd2Rh
1.0
-5.167 -1.230 -0.573
0.721 -0.688 -5.019
1.130 -5.149 0.868
Pd Rh Ba Ag
2 1 1 1
Cartesian
0.565 -2.574 0.434 Pd
-2.583 -0.615 -0.287 Pd
0.360 -0.344 -2.509 Rh
0.000 0.000 0.000 Ba
-1.658 -3.533 -2.362 Ag
```

DFT total energy ... -3.2077 eV per atom
Volume ... 29.2 A^3/atom
DFT formation energy ... 1295 meV per atom
DOS(E_F) ... 2.19 states/eV/f.u.

---

[11]
An optimized crystal structure of ScGeBi3. Source: Alexandria, functional PBE-GGA.

```
ScGeBi3
1.0
-0.008 -5.479 0.247
1.528 0.235 5.263
-5.268 0.076 1.526
Sc Ge Bi
1 1 3
Cartesian
-1.874 -2.584 3.518 Sc
0.000 0.000 0.000 Ge
0.764 0.117 2.631 Bi
-2.634 0.038 0.763 Bi
-0.004 -2.740 0.123 Bi
```

DFT total energy ... -3.9900 eV per atom
Volume ... 33.0 A^3/atom
DFT formation energy ... 528 meV per atom
DOS(E_F) ... 6.54 states/eV/f.u.

---

[12]
An optimized crystal structure of Cs2ZnHBr6. Source: Alexandria, functional PBE-GGA.

```
Cs2ZnHBr6
1.0
-2.859 5.611 -3.702
-4.774 1.137 5.411
0.094 7.123 3.517
Cs H Zn Br
2 1 1 6
Cartesian
-3.291 8.054 0.335 Cs
-4.248 5.817 4.891 Cs
-3.816 3.374 0.855 H
0.000 0.000 0.000 Zn
-1.463 5.631 2.457 Br
-6.076 8.241 2.769 Br
-2.135 1.888 0.478 Br
-5.497 4.860 1.231 Br
-3.395 4.359 -1.152 Br
-4.238 2.389 2.862 Br
```

DFT total energy ... -2.4009 eV per atom
Volume ... 32.2 A^3/atom
DOS(E_F) ... 6.91 states/eV/f.u.

---

[13]
An optimized crystal structure of Cs2NaSr. Source: Alexandria, functional PBE-GGA.

```
Cs2NaSr
1.0
-2.318 -4.001 5.086
0.757 -5.248 -3.784
6.085 -0.716 2.211
Cs Sr Na
2 1 1
Cartesian
3.043 -0.358 1.105 Cs
0.379 -2.624 -1.892 Cs
2.262 -4.982 1.756 Sr
-1.159 -2.001 2.543 Na
```

DFT total energy ... -1.0297 eV per atom
Volume ... 72.9 A^3/atom
DFT formation energy ... 147 meV per atom
DOS(E_F) ... 3.64 states/eV/f.u.

---

[14]
An optimized crystal structure of Y2TaW. Source: Alexandria, functional PBE-GGA.

```
Y2TaW
1.0
0.000 3.584 3.584
3.584 0.000 3.584
3.584 3.584 0.000
Y W Ta
2 1 1
Cartesian
1.792 1.792 1.792 Y
5.376 5.376 5.376 Y
3.584 3.584 3.584 W
0.000 0.000 0.000 Ta
```

DFT total energy ... -8.6252 eV per atom
Volume ... 23.0 A^3/atom
DFT formation energy ... 808 meV per atom
DOS(E_F) ... 6.40 states/eV/f.u.

---

[15]
An optimized crystal structure of TlCrSN2. Source: Alexandria, functional PBE-GGA.

```
TlCrSN2
1.0
4.227 0.000 0.000
0.000 4.227 0.000
0.000 0.000 5.534
Cr Tl S N
1 1 1 2
Cartesian
2.113 2.113 2.767 Cr
0.000 0.000 0.000 Tl
0.000 0.000 2.767 S
0.000 2.113 0.000 N
2.113 0.000 0.000 N
```

Raw formation energy ... 1844 meV/atom
DFT total energy ... -4.7100 eV per atom
Volume ... 19.8 A^3/atom
DOS(E_F) ... 1.97 states/eV/f.u.

---

[16]
An optimized crystal structure of CaAgSe2. Source: Alexandria, functional PBE-GGA.

```
CaAgSe2
1.0
4.238 -0.024 0.021
2.102 3.680 0.021
1.726 0.995 6.211
Ca Se Ag
1 2 1
Cartesian
6.050 3.489 4.690 Ca
0.084 0.048 0.073 Se
3.950 2.278 3.054 Se
2.017 1.163 1.563 Ag
```

Raw formation energy ... -852 meV/atom
DFT total energy ... -3.8077 eV per atom
Volume ... 24.2 A^3/atom
DOS(E_F) ... 4.86 states/eV/f.u.

---

[17]
An optimized crystal structure of Sc2ZnAs. Source: Alexandria, functional PBE-GGA.

```
Sc2ZnAs
1.0
3.513 0.000 0.000
0.000 3.521 0.021
0.000 3.484 6.107
As Sc Zn
1 2 1
Cartesian
1.757 5.254 4.596 As
0.000 3.484 6.058 Sc
0.000 3.503 3.114 Sc
1.757 1.751 1.532 Zn
```

DFT total energy ... -5.3429 eV per atom
Volume ... 18.8 A^3/atom
DFT formation energy ... -696 meV per atom
DOS(E_F) ... 2.32 states/eV/f.u.

---

[18]
An optimized crystal structure of Mo2RuBr. Source: Alexandria, functional PBE-GGA.

```
Mo2RuBr
1.0
0.000 3.156 3.156
3.156 0.000 3.156
3.156 3.156 0.000
Ru Mo Br
1 2 1
Cartesian
3.156 3.156 3.156 Ru
1.578 1.578 1.578 Mo
4.734 4.734 4.734 Mo
0.000 0.000 0.000 Br
```

Raw formation energy ... 825 meV/atom
DFT total energy ... -7.3274 eV per atom
Volume ... 15.7 A^3/atom
DOS(E_F) ... 3.38 states/eV/f.u.

---

[19]
An optimized crystal structure of NbCdPdRuI. Source: Alexandria, functional PBE-GGA.

```
NbCdPdRuI
1.0
3.533 -0.025 -0.114
-1.715 4.748 0.250
-1.154 -0.947 7.061
Nb Cd Pd Ru I
1 1 1 1 1
Cartesian
-1.062 2.041 6.897 Nb
-1.130 3.552 4.316 Cd
2.417 -0.630 6.116 Pd
0.641 1.483 5.260 Ru
-0.052 0.992 1.923 I
```

Raw formation energy ... 142 meV/atom
DFT total energy ... -5.2585 eV per atom
Volume ... 23.6 A^3/atom
DOS(E_F) ... 3.08 states/eV/f.u.

---

[20]
An optimized crystal structure of LiMo2Pb. Source: Alexandria, functional PBE-GGA.

```
LiMo2Pb
1.0
5.373 0.001 -0.001
4.310 3.209 -0.001
1.626 0.539 3.929
Li Mo Pb
1 2 1
Cartesian
8.482 2.812 2.945 Li
1.642 0.544 3.861 Mo
5.638 1.869 2.032 Mo
2.827 0.937 0.982 Pb
```

DFT total energy ... -6.4178 eV per atom
Volume ... 16.9 A^3/atom
DFT formation energy ... 403 meV per atom
DOS(E_F) ... 2.67 states/eV/f.u.